A relaxed structure of DyTmAlCd. Source: Alexandria via LeMat-Bulk, functional PBE.

Calculated values
* electronic total energy: -15.182 eV/f.u.
* size of the total moment: 0.00 μB per formula unit
* DFT formation energy: -1.5 eV/f.u.

Cell and atoms, written as CIF:
```
data_DyTmAlCd
_chemical_formula_sum 'Dy1 Tm1 Al1 Cd1'
_cell_length_a 3.613
_cell_length_b 3.613
_cell_length_c 7.446
_cell_angle_alpha 90.00
_cell_angle_beta 90.00
_cell_angle_gamma 90.00
_symmetry_space_group_name_H-M 'P 1'
_symmetry_Int_Tables_number 1
loop_
_symmetry_equiv_pos_as_xyz
'x,y,z'
loop_
_atom_site_label
_atom_site_fract_x
_atom_site_fract_y
_atom_site_fract_z
_atom_site_occupancy
Dy1 0.000 0.000 0.000 1
Tm1 0.000 0.000 0.477 1
Al1 0.500 0.500 0.243 1
Cd1 0.500 0.500 0.732 1
```

A relaxed structure of DyTmAlCd. Source: Alexandria via LeMat-Bulk, functional PBE.

Calculated values
* electronic total energy: -15.118 eV/f.u.
* size of the total moment: 0.00 μB per formula unit
* DFT formation energy: -1.4 eV/f.u.

Cell and atoms, written as CIF:
```
data_DyTmAlCd
_chemical_formula_sum 'Dy1 Tm1 Al1 Cd1'
_cell_length_a 5.165
_cell_length_b 5.165
_cell_length_c 5.165
_cell_angle_alpha 60.00
_cell_angle_beta 60.00
_cell_angle_gamma 60.00
_symmetry_space_group_name_H-M 'P 1'
_symmetry_Int_Tables_number 1
loop_
_symmetry_equiv_pos_as_xyz
'x,y,z'
loop_
_atom_site_label
_atom_site_fract_x
_atom_site_fract_y
_atom_site_fract_z
_atom_site_occupancy
Dy1 0.000 0.000 0.000 1
Tm1 0.500 0.500 0.500 1
Al1 0.250 0.250 0.250 1
Cd1 0.750 0.750 0.750 1
```

A relaxed structure of Dy4Al2ZnCd. Source: Alexandria via LeMat-Bulk, functional PBE.

Calculated values
* electronic total energy: -31.027 eV/f.u.
* size of the total moment: 0.00 μB per formula unit
* DFT formation energy: -2.9 eV/f.u.

Cell and atoms, written as CIF:
```
data_Dy4Al2ZnCd
_chemical_formula_sum 'Dy4 Al2 Zn1 Cd1'
_cell_length_a 8.899
_cell_length_b 8.899
_cell_length_c 8.899
_cell_angle_alpha 33.55
_cell_angle_beta 33.55
_cell_angle_gamma 33.55
_symmetry_space_group_name_H-M 'P 1'
_symmetry_Int_Tables_number 1
loop_
_symmetry_equiv_pos_as_xyz
'x,y,z'
loop_
_atom_site_label
_atom_site_fract_x
_atom_site_fract_y
_atom_site_fract_z
_atom_site_occupancy
Dy1 0.121 0.121 0.121 1
Dy2 0.372 0.372 0.372 1
Dy3 0.628 0.628 0.628 1
Dy4 0.879 0.879 0.879 1
Al1 0.248 0.248 0.248 1
Al2 0.752 0.752 0.752 1
Zn1 0.000 0.000 0.000 1
Cd1 0.500 0.500 0.500 1
```

A relaxed structure of DyAlZnCd. Source: Alexandria via LeMat-Bulk, functional PBE.

Calculated values
* electronic total energy: -11.374 eV/f.u.
* size of the total moment: 0.00 μB per formula unit
* DFT formation energy: -0.8 eV/f.u.

Cell and atoms, written as CIF:
```
data_DyAlZnCd
_chemical_formula_sum 'Dy1 Al1 Zn1 Cd1'
_cell_length_a 4.893
_cell_length_b 4.893
_cell_length_c 4.893
_cell_angle_alpha 60.00
_cell_angle_beta 60.00
_cell_angle_gamma 60.00
_symmetry_space_group_name_H-M 'P 1'
_symmetry_Int_Tables_number 1
loop_
_symmetry_equiv_pos_as_xyz
'x,y,z'
loop_
_atom_site_label
_atom_site_fract_x
_atom_site_fract_y
_atom_site_fract_z
_atom_site_occupancy
Dy1 0.000 0.000 0.000 1
Al1 0.750 0.750 0.750 1
Zn1 0.250 0.250 0.250 1
Cd1 0.500 0.500 0.500 1
```